Below is a geometry-optimized CaNbRh structure, with properties calculated at the GGA-PBEsol level.

POSCAR file:
```
CaNbRh
1.0
-0.5281 -2.7197 1.5859
1.7490 -1.5905 -2.1452
10.0462 1.9726 6.7284
Nb Rh Ca
2 2 2
Cartesian
5.5116 -0.2258 4.6612
5.1451 0.0433 1.7876
7.8153 0.5676 3.5760
2.8413 -0.7501 2.8727
2.3023 -0.5149 -0.1163
8.3543 0.3324 6.5651
```

Values from the calculation:
As for the formation energy: -0.2594 eV/atom. As for the space group: P4/nmm, No. 129. The value obtained for the uncorrected energy is -43.7 eV/cell. As for the crystal system: tetragonal.